1.
# Co3Rh (GGA-PBEsol, relaxed)
data_Co3Rh
_space_group_name_H-M_alt 'P 4/m m m'
_space_group_IT_number 123
_space_group_name_Hall '-P 4 2'
_cell_length_a 2.555
_cell_length_b 2.555
_cell_length_c 6.927
_cell_angle_alpha 90.00
_cell_angle_beta 90.00
_cell_angle_gamma 90.00
loop_
_atom_site_label
_atom_site_fract_x
_atom_site_fract_y
_atom_site_fract_z
_atom_site_occupancy
Co1 0.000 0.000 0.000 1
Co2 0.500 0.500 0.234 1
Rh1 0.000 0.000 0.500 1
# - Calculated volume: 45 Å³/f.u.
# - VASP energy: -7.764 eV per atom

2.
# Co3Rh2 (GGA-PBEsol, relaxed)
data_Co3Rh2
_space_group_name_H-M_alt 'I m m m'
_space_group_IT_number 71
_space_group_name_Hall '-I 2 2'
_cell_length_a 2.586
_cell_length_b 3.518
_cell_length_c 12.877
_cell_angle_alpha 90.00
_cell_angle_beta 90.00
_cell_angle_gamma 90.00
loop_
_atom_site_label
_atom_site_fract_x
_atom_site_fract_y
_atom_site_fract_z
_atom_site_occupancy
Co1 0.000 0.000 0.000 1
Co2 0.000 0.000 0.203 1
Rh1 0.000 0.000 0.398 1
# - Calculated volume: 59 Å³/f.u.
# - Energy relative to the lowest polymorph listed for this composition: 0.7 kJ/mol of atoms

3.
# Co2Rh3 (GGA-PBEsol, relaxed)
data_Co2Rh3
_space_group_name_H-M_alt 'I m m m'
_space_group_IT_number 71
_space_group_name_Hall '-I 2 2'
_cell_length_a 2.605
_cell_length_b 4.173
_cell_length_c 11.529
_cell_angle_alpha 90.00
_cell_angle_beta 90.00
_cell_angle_gamma 90.00
loop_
_atom_site_label
_atom_site_fract_x
_atom_site_fract_y
_atom_site_fract_z
_atom_site_occupancy
Co1 0.000 0.000 0.096 1
Rh1 0.000 0.000 0.500 1
Rh2 0.000 0.500 0.209 1
# - Calculated volume: 63 Å³/f.u.
# - Energy relative to the lowest polymorph listed for this composition: 6.3 kJ/mol of atoms

4.
# Co2Rh (GGA-PBEsol, relaxed)
data_Co2Rh
_space_group_name_H-M_alt 'C m c m'
_space_group_IT_number 63
_space_group_name_Hall '-C 2c 2'
_cell_length_a 3.564
_cell_length_b 10.814
_cell_length_c 3.601
_cell_angle_alpha 90.00
_cell_angle_beta 90.00
_cell_angle_gamma 90.00
loop_
_atom_site_label
_atom_site_fract_x
_atom_site_fract_y
_atom_site_fract_z
_atom_site_occupancy
Co1 0.000 0.089 0.250 1
Co2 0.000 0.250 0.750 1
Rh1 0.000 0.414 0.250 1
# - Calculated volume: 35 Å³/f.u.
# - VASP energy: -7.794 eV per atom

5.
# Co3Rh (GGA-PBEsol, relaxed)
data_Co3Rh
_space_group_name_H-M_alt 'P m m m'
_space_group_IT_number 47
_space_group_name_Hall '-P 2 2'
_cell_length_a 2.549
_cell_length_b 3.494
_cell_length_c 5.079
_cell_angle_alpha 90.00
_cell_angle_beta 90.00
_cell_angle_gamma 90.00
loop_
_atom_site_label
_atom_site_fract_x
_atom_site_fract_y
_atom_site_fract_z
_atom_site_occupancy
Co1 0.000 0.000 0.000 1
Co2 0.500 0.500 0.233 1
Rh1 0.000 0.000 0.500 1
# - Calculated volume: 45 Å³/f.u.
# - VASP energy: -7.766 eV per atom

6.
# Co3Rh (GGA-PBEsol, relaxed)
data_Co3Rh
_space_group_name_H-M_alt 'P m m n'
_space_group_IT_number 59
_cell_length_a 4.059
_cell_length_b 5.050
_cell_length_c 4.402
_cell_angle_alpha 90.00
_cell_angle_beta 90.00
_cell_angle_gamma 90.00
loop_
_space_group_symop_operation_xyz
'x,y,z'
'-x,-y,-z'
'-x+1/2,-y+1/2,z'
'x+1/2,y+1/2,-z'
'x+1/2,-y,-z'
'-x+1/2,y,z'
'-x,y+1/2,-z'
'x,-y+1/2,z'
loop_
_atom_site_label
_atom_site_fract_x
_atom_site_fract_y
_atom_site_fract_z
_atom_site_occupancy
Co1 0.250 0.001 0.160 1
Co2 0.250 0.750 0.680 1
Rh1 0.250 0.250 0.662 1
# - Calculated volume: 45 Å³/f.u.
# - VASP energy: -7.803 eV per atom

7.
# Co7Rh (GGA-PBEsol, relaxed)
data_Co7Rh
_space_group_name_H-M_alt 'F m -3 m'
_space_group_IT_number 225
_space_group_name_Hall '-F 4 2 3'
_cell_length_a 7.022
_cell_length_b 7.022
_cell_length_c 7.022
_cell_angle_alpha 90.00
_cell_angle_beta 90.00
_cell_angle_gamma 90.00
loop_
_atom_site_label
_atom_site_fract_x
_atom_site_fract_y
_atom_site_fract_z
_atom_site_occupancy
Co1 0.000 0.000 0.000 1
Co2 0.000 0.250 0.250 1
Rh1 0.000 0.000 0.500 1
# - Calculated volume: 87 Å³/f.u.
# - VASP energy: -7.730 eV per atom

8.
# CoRh3 (GGA-PBEsol, relaxed)
data_CoRh3
_space_group_name_H-M_alt 'P m m n'
_space_group_IT_number 59
_cell_length_a 4.239
_cell_length_b 5.293
_cell_length_c 4.569
_cell_angle_alpha 90.00
_cell_angle_beta 90.00
_cell_angle_gamma 90.00
loop_
_space_group_symop_operation_xyz
'x,y,z'
'-x,-y,-z'
'-x+1/2,-y+1/2,z'
'x+1/2,y+1/2,-z'
'x+1/2,-y,-z'
'-x+1/2,y,z'
'-x,y+1/2,-z'
'x,-y+1/2,z'
loop_
_atom_site_label
_atom_site_fract_x
_atom_site_fract_y
_atom_site_fract_z
_atom_site_occupancy
Co1 0.250 0.250 0.172 1
Rh1 0.250 0.501 0.669 1
Rh2 0.250 0.750 0.160 1
# - Calculated volume: 51 Å³/f.u.
# - VASP energy: -7.985 eV per atom

9.
# Co4Rh (GGA-PBEsol, relaxed)
data_Co4Rh
_space_group_name_H-M_alt 'I 4/m'
_space_group_IT_number 87
_space_group_name_Hall '-I 4'
_cell_length_a 6.499
_cell_length_b 6.499
_cell_length_c 2.653
_cell_angle_alpha 90.00
_cell_angle_beta 90.00
_cell_angle_gamma 90.00
loop_
_atom_site_label
_atom_site_fract_x
_atom_site_fract_y
_atom_site_fract_z
_atom_site_occupancy
Co1 0.122 0.675 0.000 1
Rh1 0.000 0.000 0.500 1
# - Calculated volume: 56 Å³/f.u.
# - Energy relative to the lowest polymorph listed for this composition: 3.8 kJ/mol of atoms

10.
# Co2Rh (GGA-PBEsol, relaxed)
data_Co2Rh
_space_group_name_H-M_alt 'P 4/m m m'
_space_group_IT_number 123
_space_group_name_Hall '-P 4 2'
_cell_length_a 4.152
_cell_length_b 4.152
_cell_length_c 2.552
_cell_angle_alpha 90.00
_cell_angle_beta 90.00
_cell_angle_gamma 90.00
loop_
_atom_site_label
_atom_site_fract_x
_atom_site_fract_y
_atom_site_fract_z
_atom_site_occupancy
Co1 0.000 0.500 0.000 1
Rh1 0.000 0.000 0.500 1
# - Calculated volume: 44 Å³/f.u.
# - VASP energy: -7.110 eV per atom

11.
# Co2Rh (GGA-PBEsol, relaxed)
data_Co2Rh
_space_group_name_H-M_alt 'P -3 m 1'
_space_group_IT_number 164
_space_group_name_Hall '-P 3 2"'
_cell_length_a 4.0571
_cell_length_b 4.0571
_cell_length_c 4.9835
_cell_angle_alpha 90.00
_cell_angle_beta 90.00
_cell_angle_gamma 120.00
loop_
_atom_site_label
_atom_site_fract_x
_atom_site_fract_y
_atom_site_fract_z
_atom_site_occupancy
Co1 0.0000 0.0000 0.0000 1
Co2 0.0000 0.0000 0.5000 1
Co3 0.3333 0.6667 0.3598 1
Rh1 0.3333 0.6667 0.8475 1
# - Calculated volume: 36 Å³/f.u.
# - VASP energy: -7.678 eV per atom

12.
# Co3Rh (GGA-PBEsol, relaxed)
data_Co3Rh
_space_group_name_H-M_alt 'R -3 m'
_space_group_IT_number 166
_space_group_name_Hall '-R 3 2"'
_cell_length_a 2.5445
_cell_length_b 2.5445
_cell_length_c 24.3926
_cell_angle_alpha 90.00
_cell_angle_beta 90.00
_cell_angle_gamma 120.00
loop_
_atom_site_label
_atom_site_fract_x
_atom_site_fract_y
_atom_site_fract_z
_atom_site_occupancy
Co1 0.0000 0.0000 0.0000 1
Co2 0.0000 0.0000 0.2539 1
Rh1 0.0000 0.0000 0.5000 1
# - Calculated volume: 46 Å³/f.u.
# - VASP energy: -7.748 eV per atom

13.
# Co2Rh (GGA-PBEsol, relaxed)
data_Co2Rh
_space_group_name_H-M_alt 'P 63/m m c'
_space_group_IT_number 194
_space_group_name_Hall '-P 6c 2c'
_cell_length_a 4.6274
_cell_length_b 4.6274
_cell_length_c 15.0727
_cell_angle_alpha 90.00
_cell_angle_beta 90.00
_cell_angle_gamma 120.00
loop_
_atom_site_label
_atom_site_fract_x
_atom_site_fract_y
_atom_site_fract_z
_atom_site_occupancy
Co1 0.0000 0.5000 0.0000 1
Co2 0.1618 0.3236 0.2500 1
Co3 0.3333 0.6667 0.1272 1
Rh1 0.0000 0.0000 0.0912 1
Rh2 0.3333 0.6667 0.6562 1
# - Calculated volume: 35 Å³/f.u.
# - VASP energy: -7.801 eV per atom

14.
# CoRh3 (GGA-PBEsol, relaxed)
data_CoRh3
_space_group_name_H-M_alt 'P -6 m 2'
_space_group_IT_number 187
_space_group_name_Hall 'P -6 2'
_cell_length_a 2.6525
_cell_length_b 2.6525
_cell_length_c 8.4137
_cell_angle_alpha 90.00
_cell_angle_beta 90.00
_cell_angle_gamma 120.00
loop_
_atom_site_label
_atom_site_fract_x
_atom_site_fract_y
_atom_site_fract_z
_atom_site_occupancy
Co1 0.0000 0.0000 0.0000 1
Rh1 0.0000 0.0000 0.5000 1
Rh2 0.6667 0.3333 0.2389 1
# - Calculated volume: 51 Å³/f.u.
# - VASP energy: -7.985 eV per atom

15.
# Co5Rh4 (GGA-PBEsol, relaxed)
data_Co5Rh4
_space_group_name_H-M_alt 'I 4/m m m'
_space_group_IT_number 139
_space_group_name_Hall '-I 4 2'
_cell_length_a 7.637
_cell_length_b 7.637
_cell_length_c 3.654
_cell_angle_alpha 90.00
_cell_angle_beta 90.00
_cell_angle_gamma 90.00
loop_
_atom_site_label
_atom_site_fract_x
_atom_site_fract_y
_atom_site_fract_z
_atom_site_occupancy
Co1 0.000 0.000 0.000 1
Co2 0.162 0.162 0.500 1
Rh1 0.000 0.324 0.000 1
# - Calculated volume: 107 Å³/f.u.
# - VASP energy: -7.842 eV per atom

16.
# CoRh3 (GGA-PBEsol, relaxed)
data_CoRh3
_space_group_name_H-M_alt 'P m m m'
_space_group_IT_number 47
_space_group_name_Hall '-P 2 2'
_cell_length_a 2.641
_cell_length_b 3.671
_cell_length_c 5.261
_cell_angle_alpha 90.00
_cell_angle_beta 90.00
_cell_angle_gamma 90.00
loop_
_atom_site_label
_atom_site_fract_x
_atom_site_fract_y
_atom_site_fract_z
_atom_site_occupancy
Co1 0.000 0.000 0.000 1
Rh1 0.000 0.000 0.500 1
Rh2 0.500 0.500 0.243 1
# - Calculated volume: 51 Å³/f.u.
# - VASP energy: -7.987 eV per atom

17.
# Co8Rh (GGA-PBEsol, relaxed)
data_Co8Rh
_space_group_name_H-M_alt 'I 4/m m m'
_space_group_IT_number 139
_space_group_name_Hall '-I 4 2'
_cell_length_a 7.450
_cell_length_b 7.450
_cell_length_c 3.498
_cell_angle_alpha 90.00
_cell_angle_beta 90.00
_cell_angle_gamma 90.00
loop_
_atom_site_label
_atom_site_fract_x
_atom_site_fract_y
_atom_site_fract_z
_atom_site_occupancy
Co1 0.000 0.338 0.000 1
Co2 0.172 0.172 0.500 1
Rh1 0.000 0.000 0.000 1
# - Calculated volume: 97 Å³/f.u.
# - VASP energy: -7.737 eV per atom

18.
# Co2Rh (GGA-PBEsol, relaxed)
data_Co2Rh
_space_group_name_H-M_alt 'P 6/m m m'
_space_group_IT_number 191
_space_group_name_Hall '-P 6 2'
_cell_length_a 3.9959
_cell_length_b 3.9959
_cell_length_c 2.5427
_cell_angle_alpha 90.00
_cell_angle_beta 90.00
_cell_angle_gamma 120.00
loop_
_atom_site_label
_atom_site_fract_x
_atom_site_fract_y
_atom_site_fract_z
_atom_site_occupancy
Co1 0.3333 0.6667 0.0000 1
Rh1 0.0000 0.0000 0.5000 1
# - Calculated volume: 35 Å³/f.u.
# - VASP energy: -7.776 eV per atom

19.
# CoRh3 (GGA-PBEsol, relaxed)
data_CoRh3
_space_group_name_H-M_alt 'P 4/m m m'
_space_group_IT_number 123
_space_group_name_Hall '-P 4 2'
_cell_length_a 2.644
_cell_length_b 2.644
_cell_length_c 7.275
_cell_angle_alpha 90.00
_cell_angle_beta 90.00
_cell_angle_gamma 90.00
loop_
_atom_site_label
_atom_site_fract_x
_atom_site_fract_y
_atom_site_fract_z
_atom_site_occupancy
Co1 0.000 0.000 0.000 1
Rh1 0.000 0.000 0.500 1
Rh2 0.500 0.500 0.239 1
# - Calculated volume: 51 Å³/f.u.
# - VASP energy: -7.999 eV per atom

20.
# Co2Rh (GGA-PBEsol, relaxed)
data_Co2Rh
_space_group_name_H-M_alt 'P m m n'
_space_group_IT_number 59
_cell_length_a 2.566
_cell_length_b 3.536
_cell_length_c 7.619
_cell_angle_alpha 90.00
_cell_angle_beta 90.00
_cell_angle_gamma 90.00
loop_
_space_group_symop_operation_xyz
'x,y,z'
'-x,-y,-z'
'-x+1/2,-y+1/2,z'
'x+1/2,y+1/2,-z'
'x+1/2,-y,-z'
'-x+1/2,y,z'
'-x,y+1/2,-z'
'x,-y+1/2,z'
loop_
_atom_site_label
_atom_site_fract_x
_atom_site_fract_y
_atom_site_fract_z
_atom_site_occupancy
Co1 0.250 0.250 0.077 1
Co2 0.250 0.250 0.767 1
Rh1 0.250 0.250 0.406 1
# - Calculated volume: 35 Å³/f.u.
# - VASP energy: -7.798 eV per atom

21.
# Co2Rh (GGA-PBEsol, relaxed)
data_Co2Rh
_space_group_name_H-M_alt 'P 63/m m c'
_space_group_IT_number 194
_space_group_name_Hall '-P 6c 2c'
_cell_length_a 4.0763
_cell_length_b 4.0763
_cell_length_c 4.9536
_cell_angle_alpha 90.00
_cell_angle_beta 90.00
_cell_angle_gamma 120.00
loop_
_atom_site_label
_atom_site_fract_x
_atom_site_fract_y
_atom_site_fract_z
_atom_site_occupancy
Co1 0.0000 0.0000 0.0000 1
Co2 0.3333 0.6667 0.2500 1
Rh1 0.3333 0.6667 0.7500 1
# - Calculated volume: 36 Å³/f.u.
# - VASP energy: -7.695 eV per atom

22.
# Co3Rh (GGA-PBEsol, relaxed)
data_Co3Rh
_space_group_name_H-M_alt 'P m m 2'
_space_group_IT_number 25
_space_group_name_Hall 'P 2 -2'
_cell_length_a 2.559
_cell_length_b 4.050
_cell_length_c 4.357
_cell_angle_alpha 90.00
_cell_angle_beta 90.00
_cell_angle_gamma 90.00
loop_
_atom_site_label
_atom_site_fract_x
_atom_site_fract_y
_atom_site_fract_z
_atom_site_occupancy
Co1 0.000 0.000 0.000 1
Co2 0.000 0.500 0.329 1
Co3 0.500 0.000 0.482 1
Rh1 0.500 0.500 0.830 1
# - Calculated volume: 45 Å³/f.u.
# - VASP energy: -7.791 eV per atom

23.
# Co4Rh (GGA-PBEsol, relaxed)
data_Co4Rh
_space_group_name_H-M_alt 'I 4/m m m'
_space_group_IT_number 139
_space_group_name_Hall '-I 4 2'
_cell_length_a 2.859
_cell_length_b 2.859
_cell_length_c 13.777
_cell_angle_alpha 90.00
_cell_angle_beta 90.00
_cell_angle_gamma 90.00
loop_
_atom_site_label
_atom_site_fract_x
_atom_site_fract_y
_atom_site_fract_z
_atom_site_occupancy
Co1 0.000 0.000 0.114 1
Co2 0.000 0.000 0.297 1
Rh1 0.000 0.000 0.500 1
# - Calculated volume: 56 Å³/f.u.
# - Energy relative to the lowest polymorph listed for this composition: 6.3 kJ/mol of atoms

24.
# Co2Rh3 (GGA-PBEsol, relaxed)
data_Co2Rh3
_space_group_name_H-M_alt 'R -3 m'
_space_group_IT_number 166
_space_group_name_Hall '-R 3 2"'
_cell_length_a 2.6176
_cell_length_b 2.6176
_cell_length_c 31.3386
_cell_angle_alpha 90.00
_cell_angle_beta 90.00
_cell_angle_gamma 120.00
loop_
_atom_site_label
_atom_site_fract_x
_atom_site_fract_y
_atom_site_fract_z
_atom_site_occupancy
Co1 0.0000 0.0000 0.1007 1
Rh1 0.0000 0.0000 0.2978 1
Rh2 0.0000 0.0000 0.5000 1
# - Calculated volume: 62 Å³/f.u.
# - Energy relative to the lowest polymorph listed for this composition: 1.2 kJ/mol of atoms

25.
# Co2Rh (GGA-PBEsol, relaxed)
data_Co2Rh
_space_group_name_H-M_alt 'C 1 m 1'
_space_group_IT_number 8
_space_group_name_Hall 'C -2y'
_cell_length_a 9.288
_cell_length_b 2.575
_cell_length_c 6.014
_cell_angle_alpha 90.00
_cell_angle_beta 104.40
_cell_angle_gamma 90.00
loop_
_atom_site_label
_atom_site_fract_x
_atom_site_fract_y
_atom_site_fract_z
_atom_site_occupancy
Co1 0.000 0.000 0.000 1
Co2 0.057 0.000 0.615 1
Co3 0.167 0.500 0.348 1
Co4 0.338 0.000 0.670 1
Rh1 0.219 0.500 0.941 1
Rh2 0.392 0.000 0.287 1
# - Calculated volume: 35 Å³/f.u.
# - VASP energy: -7.814 eV per atom

26.
# Co3Rh (GGA-PBEsol, relaxed)
data_Co3Rh
_space_group_name_H-M_alt 'C 1 2/m 1'
_space_group_IT_number 12
_space_group_name_Hall '-C 2y'
_cell_length_a 8.336
_cell_length_b 2.555
_cell_length_c 4.340
_cell_angle_alpha 90.00
_cell_angle_beta 100.98
_cell_angle_gamma 90.00
loop_
_atom_site_label
_atom_site_fract_x
_atom_site_fract_y
_atom_site_fract_z
_atom_site_occupancy
Co1 0.000 0.000 0.000 1
Co2 0.246 0.500 0.237 1
Rh1 0.000 0.500 0.500 1
# - Calculated volume: 45 Å³/f.u.
# - VASP energy: -7.764 eV per atom

27.
# Co2Rh (GGA-PBEsol, relaxed)
data_Co2Rh
_space_group_name_H-M_alt 'C 1 2/m 1'
_space_group_IT_number 12
_space_group_name_Hall '-C 2y'
_cell_length_a 9.229
_cell_length_b 2.580
_cell_length_c 6.054
_cell_angle_alpha 90.00
_cell_angle_beta 105.56
_cell_angle_gamma 90.00
loop_
_atom_site_label
_atom_site_fract_x
_atom_site_fract_y
_atom_site_fract_z
_atom_site_occupancy
Co1 0.030 0.000 0.287 1
Co2 0.137 0.500 0.026 1
Rh1 0.187 0.500 0.638 1
# - Calculated volume: 35 Å³/f.u.
# - VASP energy: -7.819 eV per atom